1.
Computed, not measured: Bi2Pd2Rh after structural relaxation at the PBE level of DFT.

Cell and atoms, written as POSCAR:
```
Bi2Pd2Rh
1.0
-2.4922 -4.0562 -3.1189
3.2825 -3.7782 2.2907
-4.9084 2.9473 5.2817
Bi Pd Rh
4 4 2
Cartesian
0.3456 -5.3045 1.4298
-4.4637 0.4175 3.0237
-3.6939 -3.9309 2.8710
-0.4242 -0.9562 1.5825
0.6725 -2.9516 3.3012
-4.7906 -1.9355 1.1523
-2.2935 -1.3472 3.5847
-1.8245 -3.5398 0.8689
1.0182 -2.9031 0.3656
-0.2279 -4.9312 -1.1938
```

Calculated values
Energy of formation from the pure elements ... -0.1413 eV per atom

---

2.
Computed, not measured: DyInCu after structural relaxation at the PBE level of DFT.

Cell and atoms, written as POSCAR:
```
DyInCu
1.0
-6.8272 -1.8042 2.4591
6.0416 -2.0536 3.8980
-0.1618 3.3835 2.0333
Dy In Cu
3 3 3
Cartesian
-2.8848 0.9507 2.0266
2.4004 0.8483 2.6175
-0.5438 -0.5817 4.7629
-5.0907 -1.3453 1.8336
4.5049 -1.5313 2.9065
-0.1998 -0.9813 1.6169
-0.0809 1.6917 1.0166
1.7520 -1.9705 3.4184
-2.5376 -1.8874 2.9387
```

Calculated values
Energy of formation from the pure elements ... -0.4228 eV per atom

---

3.
Computed, not measured: Cd3IrN after structural relaxation at the PBE level of DFT.

Cell and atoms, written as POSCAR:
```
Cd3IrN
1.0
-2.9708 -2.7687 -3.3136
3.3579 -4.0099 0.3400
-2.7147 -1.9302 4.0467
N Ir Cd
1 1 3
Cartesian
-1.1638 -4.3544 0.5366
0.0000 0.0000 0.0000
1.6790 -2.0050 0.1700
-1.3574 -0.9651 2.0233
-1.4854 -1.3844 -1.6568
```

Calculated values
Formation energy from raw total energies ... 1.28 eV/atom

---

4.
Computed, not measured: CaNd2Al after structural relaxation at the PBE level of DFT.

Cell and atoms, written as POSCAR:
```
CaNd2Al
1.0
5.5215 0.0000 0.0000
2.7607 4.7817 0.0000
2.7607 1.5939 4.5083
Ca Nd Al
1 2 1
Cartesian
5.5215 3.1878 2.2541
2.7607 1.5939 1.1271
8.2822 4.7817 3.3812
0.0000 0.0000 0.0000
```

Calculated values
Energy of formation from the pure elements ... -0.0855 eV per atom

---

5.
Computed, not measured: TiNb2Ru3 after structural relaxation at the PBE level of DFT.

Cell and atoms, written as POSCAR:
```
TiNb2Ru3
1.0
3.0666 0.0000 0.0000
0.0000 3.0666 0.0000
0.0000 0.0000 9.9369
Ti Nb Ru
1 2 3
Cartesian
1.5333 1.5333 4.9685
1.5333 1.5333 8.2168
1.5333 1.5333 1.7201
0.0000 0.0000 0.0000
0.0000 0.0000 6.4948
0.0000 0.0000 3.4421
```

Calculated values
Energy of formation from the pure elements ... -0.3876 eV per atom

---

6.
Computed, not measured: RbCo3Ir after structural relaxation at the PBE level of DFT.

Cell and atoms, written as POSCAR:
```
RbCo3Ir
1.0
4.7853 0.0000 0.0000
0.0000 4.7853 0.0000
0.0000 0.0000 4.7853
Ir Co Rb
1 3 1
Cartesian
0.0000 0.0000 0.0000
0.0000 2.3927 0.0000
0.0000 0.0000 2.3927
2.3927 0.0000 0.0000
2.3927 2.3927 2.3927
```

Calculated values
Energy of formation from the pure elements ... 1.1566 eV per atom

---

no.,M_tot (Bohr magnetons per cell)
1,0.0
2,0.0
3,2.7
4,0.0
5,0.0
6,6.8